Hf2CuO | PBE | relaxed

As for the total moment: 0.0000 μB/atom. The value obtained for the formation energy (no corrections) is -85 kJ/mol of atoms. The volume is 22.45 Å³ per atom.

CIF file:
```
data_Hf2CuO
_cell_length_a 4.0993
_cell_length_b 4.0993
_cell_length_c 18.5147
_cell_angle_alpha 90.00
_cell_angle_beta 90.00
_cell_angle_gamma 120.00
_symmetry_space_group_name_H-M 'R -3 m'
_symmetry_Int_Tables_number 166
_symmetry_space_group_name_Hall '-R 3 2"'
loop_
_atom_site_label
_atom_site_fract_x
_atom_site_fract_y
_atom_site_fract_z
_atom_site_occupancy
Hf1 0.0000 0.0000 0.1048 1
Cu1 0.0000 0.0000 0.5000 1
O1 0.0000 0.0000 0.0000 1
```

Hf2CuO2 | PBE | relaxed

The energy above the most stable polymorph in this dataset is 0.87 eV/f.u. As for the total moment: 0.0000 μB/atom. The value obtained for the formation energy (no corrections) is -134 kJ/mol of atoms. The volume is 12.21 Å³ per atom.

CIF file:
```
data_Hf2CuO2
_cell_length_a 6.6668
_cell_length_b 6.6668
_cell_length_c 2.7471
_cell_angle_alpha 90.00
_cell_angle_beta 90.00
_cell_angle_gamma 90.00
_symmetry_space_group_name_H-M 'P 4/m b m'
_symmetry_Int_Tables_number 127
_symmetry_space_group_name_Hall '-P 4 2ab'
loop_
_atom_site_label
_atom_site_fract_x
_atom_site_fract_y
_atom_site_fract_z
_atom_site_occupancy
Hf1 0.1740 0.3260 0.0000 1
Cu1 0.0000 0.0000 0.5000 1
O1 0.1267 0.6267 0.5000 1
```

HfCuPO2 | PBE | relaxed

The energy above the most stable polymorph in this dataset is 0.00 eV/f.u. As for the total moment: 0.0569 μB/atom. The value obtained for the formation energy (no corrections) is -109 kJ/mol of atoms. The volume is 17.46 Å³ per atom.

CIF file:
```
data_HfCuPO2
_cell_length_a 3.9373
_cell_length_b 3.9373
_cell_length_c 5.6300
_cell_angle_alpha 90.00
_cell_angle_beta 90.00
_cell_angle_gamma 90.00
_symmetry_space_group_name_H-M 'P 4/m m m'
_symmetry_Int_Tables_number 123
_symmetry_space_group_name_Hall '-P 4 2'
loop_
_atom_site_label
_atom_site_fract_x
_atom_site_fract_y
_atom_site_fract_z
_atom_site_occupancy
Hf1 0.0000 0.0000 0.0000 1
Cu1 0.5000 0.5000 0.5000 1
P1 0.0000 0.0000 0.5000 1
O1 0.0000 0.5000 0.0000 1
```

HfCuP2O | PBE | relaxed

The energy above the most stable polymorph in this dataset is 0.00 eV/f.u. As for the total moment: 0.0000 μB/atom. The value obtained for the formation energy (no corrections) is -18 kJ/mol of atoms. The volume is 20.54 Å³ per atom.

CIF file:
```
data_HfCuP2O
_cell_length_a 5.1460
_cell_length_b 5.1460
_cell_length_c 3.8776
_cell_angle_alpha 90.00
_cell_angle_beta 90.00
_cell_angle_gamma 90.00
_symmetry_space_group_name_H-M 'P 4/m m m'
_symmetry_Int_Tables_number 123
_symmetry_space_group_name_Hall '-P 4 2'
loop_
_atom_site_label
_atom_site_fract_x
_atom_site_fract_y
_atom_site_fract_z
_atom_site_occupancy
Hf1 0.0000 0.0000 0.0000 1
Cu1 0.5000 0.5000 0.5000 1
P1 0.0000 0.5000 0.0000 1
O1 0.0000 0.0000 0.5000 1
```